EuSbPd2: optimized geometry, PBE.

a b c (Å): 4.6521 4.6521 3.9008
angles (deg): 90.00 90.00 90.00
Last column: nearest neighbours and their distance in Å.
Element x y z (fractional)
1 Eu 0.0000 0.0000 0.0000  8 Pd 3.04, 4 Sb 3.29
2 Sb 0.5000 0.5000 0.0000  8 Pd 3.04, 4 Eu 3.29
3 Pd 0.0000 0.5000 0.5000  4 Sb 3.04, 4 Eu 3.04, 4 Pd 3.29
4 Pd 0.5000 0.0000 0.5000  4 Sb 3.04, 4 Eu 3.04, 4 Pd 3.29

Properties
Calculated total energy (eV for the cell shown): -27.14
E_form (uncorrected) (eV per formula unit): -2.36
D(E_F) (states/eV/cell): 13.509